(1)
VASP calculation (GGA-PBE) on an optimized crystal structure of Tl2AuC.

distance to the lowest polymorph of the same formula = 1.39 eV/f.u.
crystal system = cubic

Cell lengths 4.894, 4.894, 4.894 Å; angles 60.00, 60.00, 60.00 degrees
Atoms (fractional coordinates):
Tl: 0.750 0.750 0.750
Tl: 0.250 0.250 0.250
C: 0.000 0.000 0.000
Au: 0.500 0.500 0.500


(2)
VASP calculation (GGA-PBE) on an optimized crystal structure of Y2TlAuC.

crystal system = tetragonal

Cell lengths 5.499, 5.127, 5.499 Å; angles 90.00, 90.00, 90.00 degrees
Atoms (fractional coordinates):
Au: 0.000 0.000 0.000
Tl: 0.000 0.500 0.000
Y: 0.500 0.000 0.000
Y: 0.000 0.000 0.500
C: 0.500 0.500 0.500


(3)
VASP calculation (GGA-PBE) on an optimized crystal structure of YTlAuC2.

crystal system = tetragonal

Cell lengths 4.335, 6.148, 4.335 Å; angles 90.00, 90.00, 90.00 degrees
Atoms (fractional coordinates):
C: 0.500 0.000 0.000
C: 0.000 0.000 0.500
Au: 0.500 0.500 0.500
Tl: 0.000 0.000 0.000
Y: 0.000 0.500 0.000


(4)
VASP calculation (GGA-PBE) on an optimized crystal structure of Tm12Au3C5.

crystal system = cubic

Cell lengths 13.338, 13.338, 13.338 Å; angles 109.47, 109.47, 109.47 degrees
Atoms (fractional coordinates):
Tm: 0.682 0.479 0.596
Tm: 0.096 0.182 0.479
Tm: 0.904 0.818 0.521
Tm: 0.818 0.914 0.297
Tm: 0.586 0.703 0.682
Tm: 0.404 0.021 0.318
Tm: 0.979 0.596 0.182
Tm: 0.596 0.617 0.414
Tm: 0.521 0.203 0.117
Tm: 0.818 0.904 0.021
Tm: 0.797 0.479 0.383
Tm: 0.383 0.979 0.797
Tm: 0.479 0.682 0.096
Tm: 0.117 0.703 0.521
Tm: 0.883 0.586 0.904
Tm: 0.203 0.682 0.086
Tm: 0.703 0.586 0.182
Tm: 0.914 0.818 0.797
Tm: 0.182 0.086 0.703
Tm: 0.297 0.414 0.818
Tm: 0.521 0.318 0.904
Tm: 0.203 0.521 0.617
Tm: 0.182 0.096 0.979
Tm: 0.979 0.383 0.297
Tm: 0.117 0.414 0.096
Tm: 0.617 0.021 0.203
Tm: 0.021 0.617 0.703
Tm: 0.414 0.297 0.318
Tm: 0.682 0.203 0.586
Tm: 0.021 0.404 0.818
Tm: 0.797 0.318 0.914
Tm: 0.914 0.096 0.617
Tm: 0.617 0.596 0.914
Tm: 0.904 0.086 0.883
Tm: 0.297 0.883 0.979
Tm: 0.086 0.182 0.203
Tm: 0.383 0.404 0.086
Tm: 0.479 0.797 0.883
Tm: 0.883 0.297 0.479
Tm: 0.414 0.117 0.596
Tm: 0.096 0.914 0.117
Tm: 0.318 0.521 0.404
Tm: 0.404 0.383 0.586
Tm: 0.586 0.883 0.404
Tm: 0.318 0.797 0.414
Tm: 0.086 0.904 0.383
Tm: 0.703 0.117 0.021
Tm: 0.596 0.979 0.682
C: 0.750 0.125 0.875
C: 0.250 0.875 0.125
C: 0.000 0.000 0.000
C: 0.375 0.250 0.125
C: 0.000 0.500 0.000
C: 0.625 0.875 0.250
C: 0.000 0.000 0.500
C: 0.750 0.625 0.375
C: 0.500 0.500 0.000
C: 0.000 0.500 0.500
C: 0.875 0.625 0.750
C: 0.500 0.500 0.500
C: 0.375 0.125 0.750
C: 0.125 0.750 0.375
C: 0.875 0.250 0.625
C: 0.625 0.750 0.875
C: 0.250 0.375 0.625
C: 0.125 0.375 0.250
C: 0.500 0.000 0.000
C: 0.500 0.000 0.500
Au: 0.125 0.250 0.875
Au: 0.750 0.375 0.125
Au: 0.250 0.125 0.375
Au: 0.750 0.875 0.625
Au: 0.875 0.750 0.125
Au: 0.625 0.250 0.375
Au: 0.875 0.125 0.250
Au: 0.250 0.625 0.875
Au: 0.625 0.375 0.750
Au: 0.375 0.750 0.625
Au: 0.375 0.625 0.250
Au: 0.125 0.875 0.750


| no. | DFT formation energy (eV per atom) | D(E_F) (states/eV per atom) |
| --- | --- | --- |
| 1 | 1.38 | 0.670 |
| 2 | 1.21 | 0.785 |
| 3 | 2.19 | 0.725 |
| 4 | -0.34 | 0.679 |